Crystalline BeVAs2F at its relaxed geometry. Source: Alexandria via LeMat-Bulk, functional GGA+U.

crystal system: tetragonal
calculated volume: 86 Å³ per cell
space-group type: P4/mmm, No. 123
calculated total energy: -4.06 eV/atom

```
BeVAs2F
1.0
4.1916 0.0000 0.0000
0.0000 4.8692 0.0000
0.0000 0.0000 4.1916
V As F Be
1 2 1 1
Direct
0.0000 0.5000 0.0000
0.5000 0.0000 0.0000
0.0000 0.0000 0.5000
0.5000 0.5000 0.5000
0.0000 0.0000 0.0000
```